# 1
An optimized crystal structure of Nd3DyHo4, computed with PBE-GGA.

Lattice parameters (Å, degrees): 3.478 8.922 8.922 81.77 78.76 78.76
Fractional positions:
Ho (0.365, 0.889, 0.380)
Ho (0.635, 0.111, 0.620)
Ho (0.635, 0.620, 0.111)
Ho (0.365, 0.380, 0.889)
Dy (0.500, 0.000, 0.000)
Nd (0.000, 0.500, 0.500)
Nd (0.243, 0.757, 0.757)
Nd (0.757, 0.243, 0.243)

Values from the calculation:
energy of formation = 133 meV/atom
offset from the most stable computed form = 110 meV per atom
total energy = -4.519 eV per atom


# 2
An optimized crystal structure of Nd3DyHo6, computed with PBE-GGA.

Lattice parameters (Å, degrees): 6.571 9.678 6.639 111.22 119.66 90.00
Fractional positions:
Ho (0.637, 0.921, 0.273)
Ho (0.560, 0.688, 0.628)
Ho (0.363, 0.079, 0.727)
Ho (0.067, 0.688, 0.628)
Ho (0.440, 0.312, 0.372)
Ho (0.933, 0.312, 0.372)
Nd (0.930, 0.301, 0.860)
Nd (0.000, 0.000, 0.000)
Nd (0.070, 0.699, 0.140)
Dy (0.500, 0.500, 0.000)

Values from the calculation:
energy of formation = 226 meV/atom
offset from the most stable computed form = 76 meV per atom
total energy = -4.411 eV per atom


# 3
An optimized crystal structure of Nd3Dy8Ho2, computed with PBE-GGA.

Lattice parameters (Å, degrees): 5.654 7.715 10.748 111.03 90.04 90.00
Fractional positions:
Ho (0.501, 0.759, 0.517)
Ho (0.499, 0.241, 0.483)
Dy (0.001, 0.672, 0.344)
Dy (0.000, 0.136, 0.271)
Dy (0.500, 0.182, 0.781)
Dy (0.000, 0.864, 0.729)
Dy (0.999, 0.328, 0.656)
Dy (0.500, 0.600, 0.781)
Dy (0.500, 0.818, 0.219)
Dy (0.500, 0.400, 0.219)
Nd (0.500, 0.000, 0.000)
Nd (0.000, 0.708, 0.000)
Nd (0.000, 0.292, 0.000)

Values from the calculation:
energy of formation = 244 meV/atom
offset from the most stable computed form = 157 meV per atom
total energy = -4.393 eV per atom


# 4
An optimized crystal structure of Nd5Dy4Ho, computed with PBE-GGA.

Lattice parameters (Å, degrees): 3.610 10.220 9.533 105.69 79.13 90.06
Fractional positions:
Nd (0.300, 0.600, 0.400)
Nd (0.900, 0.805, 0.199)
Nd (0.100, 0.195, 0.801)
Nd (0.700, 0.400, 0.600)
Nd (0.500, 0.500, 0.000)
Dy (0.300, 0.100, 0.399)
Dy (0.900, 0.296, 0.201)
Dy (0.100, 0.704, 0.799)
Dy (0.700, 0.900, 0.601)
Ho (0.500, 0.000, 0.000)

Values from the calculation:
energy of formation = 17 meV/atom
offset from the most stable computed form = 0 meV per atom
total energy = -4.666 eV per atom


# 5
An optimized crystal structure of Nd7DyHo4, computed with PBE-GGA.

Lattice parameters (Å, degrees): 6.006 9.782 8.633 61.20 69.64 72.12
Fractional positions:
Nd (0.211, 0.765, 0.813)
Nd (0.084, 0.554, 0.277)
Nd (0.916, 0.446, 0.723)
Nd (0.789, 0.882, 0.540)
Nd (0.789, 0.235, 0.187)
Nd (0.500, 0.000, 0.000)
Nd (0.211, 0.118, 0.460)
Ho (0.571, 0.302, 0.555)
Ho (0.429, 0.698, 0.445)
Ho (0.329, 0.386, 0.957)
Ho (0.671, 0.614, 0.043)
Dy (0.000, 0.000, 0.000)

Values from the calculation:
energy of formation = 215 meV/atom
offset from the most stable computed form = 208 meV per atom
total energy = -4.476 eV per atom


# 6
An optimized crystal structure of Nd7Dy12Ho, computed with PBE-GGA.

Lattice parameters (Å, degrees): 8.802 8.802 8.802 86.01 86.01 86.01
Fractional positions:
Dy (0.497, 0.616, 0.135)
Dy (0.503, 0.384, 0.865)
Dy (0.865, 0.503, 0.384)
Dy (0.854, 0.251, 0.727)
Dy (0.727, 0.854, 0.251)
Dy (0.749, 0.273, 0.146)
Dy (0.146, 0.749, 0.273)
Dy (0.616, 0.135, 0.497)
Dy (0.251, 0.727, 0.854)
Dy (0.135, 0.497, 0.616)
Dy (0.384, 0.865, 0.503)
Dy (0.273, 0.146, 0.749)
Nd (0.081, 0.155, 0.399)
Nd (0.500, 0.500, 0.500)
Nd (0.919, 0.845, 0.601)
Nd (0.155, 0.399, 0.081)
Nd (0.845, 0.601, 0.919)
Nd (0.399, 0.081, 0.155)
Nd (0.601, 0.919, 0.845)
Ho (0.000, 0.000, 0.000)

Values from the calculation:
energy of formation = 231 meV/atom
offset from the most stable computed form = 0 meV per atom
total energy = -4.428 eV per atom